1.
Crystalline RbVAs2Au at its relaxed geometry. Source: Alexandria, functional PBE-GGA.

Unit cell a=5.4983 b=4.9154 c=5.4983 alpha=90.00 beta=90.00 gamma=90.00
With the nearest neighbours (Å) after each atom.
Fractional coordinates of all 5 atoms:
As: 0.0000 0.0000 0.5000  2 Rb 2.75
As: 0.5000 0.0000 0.0000  2 Rb 2.75
Au: 0.5000 0.5000 0.5000  8 As 3.69, 4 V 3.89
Rb: 0.0000 0.0000 0.0000  2 V 2.46, 4 As 2.75
V: 0.0000 0.5000 0.0000  2 Rb 2.46

Computed properties:
SG = P4/mmm, No. 123
DOS at the Fermi energy = 1.664 states/eV per atom
Total magnetic moment = 0.516 μB per cell

=====

2.
Crystalline RbZrAs2Au at its relaxed geometry. Source: Alexandria, functional PBE-GGA.

Unit cell a=5.4285 b=5.3694 c=5.4285 alpha=90.00 beta=90.00 gamma=90.00
With the nearest neighbours (Å) after each atom.
Fractional coordinates of all 5 atoms:
As: 0.0000 0.0000 0.5000  2 Rb 2.71
As: 0.5000 0.0000 0.0000  2 Rb 2.71
Au: 0.5000 0.5000 0.5000  8 As 3.82, 4 Zr 3.84
Rb: 0.0000 0.0000 0.0000  2 Zr 2.68, 4 As 2.71
Zr: 0.0000 0.5000 0.0000  2 Rb 2.68

Computed properties:
SG = P4/mmm, No. 123
DOS at the Fermi energy = 0.985 states/eV per atom
Total magnetic moment = 1.572 μB per cell

=====

3.
Crystalline Re2AsAu at its relaxed geometry. Source: Alexandria, functional PBE-GGA.

Unit cell a=2.8632 b=2.8632 c=8.8984 alpha=90.00 beta=90.00 gamma=117.55
With the nearest neighbours (Å) after each atom.
Fractional coordinates of all 4 atoms:
Re: 0.0000 0.0000 0.0256  2 As 2.49
Re: 0.0000 0.0000 0.4744  2 As 2.49
As: 0.5000 0.5000 0.2500  4 Re 2.49
Au: 0.5000 0.5000 0.7500  6 Au 2.86-2.97, 4 Re 2.87

Computed properties:
SG = Cmmm, No. 65
DOS at the Fermi energy = 0.892 states/eV per atom
Total magnetic moment = 0.000 μB per cell

=====

| no. | energy of formation from the pure elements (kcal/mol of atoms) |
| --- | --- |
| 1 | 53.43 |
| 2 | 45.50 |
| 3 | 16.77 |